Entry 1:
An optimized crystal structure of ThScTc, computed with PBE.

Geometry as CIF:
```
data_ThScTc
_chemical_formula_sum 'Th2 Sc2 Tc2'
_space_group_name_H-M_alt 'P 1'
_space_group_IT_number 1
_space_group_name_Hall 'P 1'
_cell_length_a 4.184
_cell_length_b 4.184
_cell_length_c 8.334
_cell_angle_alpha 104.54
_cell_angle_beta 104.54
_cell_angle_gamma 90.00
loop_
_atom_site_label
_atom_site_type_symbol
_atom_site_fract_x
_atom_site_fract_y
_atom_site_fract_z
_atom_site_occupancy
Tc1 Tc 0.129 0.129 0.258 1
Tc2 Tc 0.871 0.871 0.742 1
Th1 Th 0.326 0.326 0.653 1
Th2 Th 0.674 0.674 0.347 1
Sc1 Sc 0.000 0.500 0.000 1
Sc2 Sc 0.500 0.000 0.000 1
```

Results
The calculation puts the relative energy among the computed polymorphs at 0 meV per atom. The uncorrected energy comes out at -8.20 eV/atom. As for the density of states at the Fermi level: 4.47 states/eV/cell. The formation energy is -0.48 eV/f.u.

***

Entry 2:
An optimized crystal structure of ThSc4Tc, computed with PBE.

Geometry as CIF:
```
data_ThSc4Tc
_chemical_formula_sum 'Th1 Sc4 Tc1'
_space_group_name_H-M_alt 'P 1'
_space_group_IT_number 1
_space_group_name_Hall 'P 1'
_cell_length_a 5.084
_cell_length_b 5.727
_cell_length_c 6.423
_cell_angle_alpha 58.58
_cell_angle_beta 66.69
_cell_angle_gamma 63.65
loop_
_atom_site_label
_atom_site_type_symbol
_atom_site_fract_x
_atom_site_fract_y
_atom_site_fract_z
_atom_site_occupancy
Tc1 Tc 0.000 0.000 0.000 1
Sc1 Sc 0.282 0.595 0.842 1
Sc2 Sc 0.718 0.405 0.158 1
Sc3 Sc 0.375 0.977 0.273 1
Sc4 Sc 0.625 0.023 0.727 1
Th1 Th 0.000 0.500 0.500 1
```

Results
The uncorrected energy comes out at -7.27 eV/atom. As for the density of states at the Fermi level: 7.48 states/eV/cell. The formation energy is -0.48 eV/f.u.